--- i ---
First-principles (GGA-PBE) data for a relaxed Lu2ZnCo crystal, as listed in the Alexandria database.

Cell lengths 4.759, 4.759, 4.759 Å; angles 60.00, 60.00, 60.00 degrees
Fractional positions:
Lu1 0.250 0.250 0.250
Lu2 0.750 0.750 0.750
Zn1 0.000 0.000 0.000
Co1 0.500 0.500 0.500

Computed properties:
Density = 10.34 g/cm3

--- ii ---
First-principles (GGA-PBE) data for a relaxed Lu2ZnCo crystal, as listed in the Alexandria database.

Cell lengths 3.307, 3.307, 7.101 Å; angles 90.00, 90.00, 90.00 degrees
Fractional positions:
Lu1 0.000 0.000 0.225
Lu2 0.000 0.000 0.775
Zn1 0.500 0.500 0.500
Co1 0.500 0.500 0.000

Computed properties:
Density = 10.14 g/cm3

--- iii ---
First-principles (GGA-PBE) data for a relaxed Lu2ZnCo crystal, as listed in the Alexandria database.

Cell lengths 9.341, 9.341, 9.341 Å; angles 22.61, 22.61, 22.61 degrees
Fractional positions:
Lu1 0.113 0.113 0.113
Lu2 0.887 0.887 0.887
Zn1 0.000 0.000 0.000
Co1 0.500 0.500 0.500

Computed properties:
Density = 7.45 g/cm3

Going by the energies, ii is most stable and the next is 4.4 kJ/mol of atoms up.

--- i ---
First-principles (GGA-PBE) data for a relaxed MgCo4 crystal, as listed in the Alexandria database.

Cell lengths 4.247, 4.247, 4.247 Å; angles 90.00, 90.00, 90.00 degrees
Fractional positions:
Mg1 0.000 0.000 0.000
Co1 0.000 0.000 0.500
Co2 0.000 0.500 0.000
Co3 0.500 0.000 0.000
Co4 0.500 0.500 0.500

Computed properties:
Density = 5.64 g/cm3

--- ii ---
First-principles (GGA-PBE) data for a relaxed MgCo4 crystal, as listed in the Alexandria database.

Cell lengths 4.435, 4.435, 4.435 Å; angles 100.02, 100.02, 130.70 degrees
Fractional positions:
Mg1 0.000 0.000 0.000
Co1 0.193 0.415 0.608
Co2 0.415 0.807 0.222
Co3 0.585 0.193 0.778
Co4 0.807 0.585 0.392

Computed properties:
Density = 7.18 g/cm3

Going by the energies, ii is most stable and the next is 148.7 kJ/mol of atoms up.

--- i ---
First-principles (GGA-PBE) data for a relaxed Mg3Co2 crystal, as listed in the Alexandria database.

Cell lengths 11.261, 11.261, 11.261 Å; angles 14.72, 14.72, 14.72 degrees
Fractional positions:
Mg1 0.000 0.000 0.000
Mg2 0.208 0.208 0.208
Mg3 0.792 0.792 0.792
Co1 0.397 0.397 0.397
Co2 0.603 0.603 0.603

Computed properties:
Density = 3.95 g/cm3

--- ii ---
First-principles (GGA-PBE) data for a relaxed Mg3Co2 crystal, as listed in the Alexandria database.

Cell lengths 9.942, 6.065, 11.473 Å; angles 60.00, 31.89, 88.10 degrees
Fractional positions:
Mg1 0.000 0.000 0.000
Mg2 0.232 0.783 0.550
Mg3 0.250 0.250 0.250
Mg4 0.700 0.815 0.018
Mg5 0.783 0.232 0.435
Mg6 0.815 0.700 0.467
Co1 0.301 0.620 0.758
Co2 0.492 0.929 0.949
Co3 0.620 0.301 0.321
Co4 0.929 0.492 0.630

Computed properties:
Density = 3.86 g/cm3

--- iii ---
First-principles (GGA-PBE) data for a relaxed Mg3Co2 crystal, as listed in the Alexandria database.

Cell lengths 4.362, 4.362, 5.292 Å; angles 90.00, 90.00, 120.00 degrees
Fractional positions:
Mg1 0.000 0.000 0.000
Mg2 0.333 0.667 0.368
Mg3 0.667 0.333 0.632
Co1 0.333 0.667 0.901
Co2 0.667 0.333 0.099

Computed properties:
Density = 3.63 g/cm3

Going by the energies, ii is most stable and the next is 11.5 kJ/mol of atoms up.

--- i ---
First-principles (GGA-PBE) data for a relaxed Mg2Co3 crystal, as listed in the Alexandria database.

Cell lengths 7.413, 4.922, 8.174 Å; angles 63.35, 36.40, 80.25 degrees
Fractional positions:
Mg1 0.125 0.875 0.281
Mg2 0.531 0.969 0.375
Mg3 0.875 0.125 0.719
Mg4 0.969 0.531 0.125
Co1 0.228 0.228 0.772
Co2 0.455 0.541 0.301
Co3 0.478 0.478 0.022
Co4 0.541 0.455 0.703
Co5 0.547 0.949 0.709
Co6 0.949 0.547 0.795

Computed properties:
Density = 5.07 g/cm3

--- ii ---
First-principles (GGA-PBE) data for a relaxed Mg2Co3 crystal, as listed in the Alexandria database.

Cell lengths 4.079, 4.079, 5.241 Å; angles 90.00, 90.00, 120.00 degrees
Fractional positions:
Mg1 0.333 0.667 0.344
Mg2 0.667 0.333 0.656
Co1 0.000 0.000 0.500
Co2 0.333 0.667 0.876
Co3 0.667 0.333 0.124

Computed properties:
Density = 4.96 g/cm3

--- iii ---
First-principles (GGA-PBE) data for a relaxed Mg2Co3 crystal, as listed in the Alexandria database.

Cell lengths 10.776, 10.776, 10.776 Å; angles 14.58, 14.58, 14.58 degrees
Fractional positions:
Mg1 0.098 0.098 0.098
Mg2 0.902 0.902 0.902
Co1 0.305 0.305 0.305
Co2 0.500 0.500 0.500
Co3 0.695 0.695 0.695

Computed properties:
Density = 5.42 g/cm3

Going by the energies, i is most stable and the next is 14.0 kJ/mol of atoms up.